# Sc3Tl2Cd2

Crystalline Sc3Tl2Cd2 at its relaxed geometry (PBE-GGA, the Alexandria database).

## Properties
total DFT energy (no corrections)	-0.13953	Ha/atom
DOS(E_F)	0.75	states/eV/atom
E_form	-0.15	eV per atom
calculated volume	24.839	A^3/atom

Cell and atoms, written as CIF:
```
data_Sc3Tl2Cd2
_cell_length_a 4.936
_cell_length_b 4.940
_cell_length_c 8.695
_cell_angle_alpha 73.69
_cell_angle_beta 73.71
_cell_angle_gamma 60.11
_symmetry_space_group_name_H-M 'P -1'
_symmetry_Int_Tables_number 2
loop_
_symmetry_equiv_pos_as_xyz
'x,y,z'
'-x,-y,-z'
loop_
_atom_site_label
_atom_site_type_symbol
_atom_site_fract_x
_atom_site_fract_y
_atom_site_fract_z
Sc1 Sc 0.000 0.000 0.000
Sc2 Sc 0.252 0.250 0.248
Tl1 Tl 0.384 0.385 0.846
Cd1 Cd 0.129 0.130 0.610
```


# TlNiPb2

Crystalline TlNiPb2 at its relaxed geometry (PBE-GGA, the Alexandria database).

## Properties
total DFT energy (no corrections)	-0.12910	Ha/atom
DOS(E_F)	1.05	states/eV/atom
E_form	0.38	eV per atom
calculated volume	25.162	A^3/atom
energy relative to the lowest polymorph listed for this composition	0.270	eV per atom

Cell and atoms, written as CIF:
```
data_TlNiPb2
_cell_length_a 7.384
_cell_length_b 7.384
_cell_length_c 7.384
_cell_angle_alpha 90.00
_cell_angle_beta 90.00
_cell_angle_gamma 90.00
_symmetry_space_group_name_H-M 'F m -3 m'
_symmetry_Int_Tables_number 225
_symmetry_space_group_name_Hall '-F 4 2 3'
loop_
_atom_site_label
_atom_site_type_symbol
_atom_site_fract_x
_atom_site_fract_y
_atom_site_fract_z
Tl1 Tl 0.000 0.000 0.000
Ni1 Ni 0.000 0.000 0.500
Pb1 Pb 0.250 0.250 0.250
```


Repeat the first record exactly.
# Sc3Tl2Cd2

Crystalline Sc3Tl2Cd2 at its relaxed geometry (PBE-GGA, the Alexandria database).

## Properties
total DFT energy (no corrections)	-0.13953	Ha/atom
DOS(E_F)	0.75	states/eV/atom
E_form	-0.15	eV per atom
calculated volume	24.839	A^3/atom

Cell and atoms, written as CIF:
```
data_Sc3Tl2Cd2
_cell_length_a 4.936
_cell_length_b 4.940
_cell_length_c 8.695
_cell_angle_alpha 73.69
_cell_angle_beta 73.71
_cell_angle_gamma 60.11
_symmetry_space_group_name_H-M 'P -1'
_symmetry_Int_Tables_number 2
loop_
_symmetry_equiv_pos_as_xyz
'x,y,z'
'-x,-y,-z'
loop_
_atom_site_label
_atom_site_type_symbol
_atom_site_fract_x
_atom_site_fract_y
_atom_site_fract_z
Sc1 Sc 0.000 0.000 0.000
Sc2 Sc 0.252 0.250 0.248
Tl1 Tl 0.384 0.385 0.846
Cd1 Cd 0.129 0.130 0.610
```